No. 1
Density functional theory data (GGA-PBE) for a relaxed BaSc2P crystal.

Calculated density = 3.6 g/cm³
VASP energy = -18.370 eV for the cell shown
ΔE_f = 406.4 meV per atom
Space-group type = No. 166

a b c (Å): 11.412 11.412 11.412
angles (deg): 17.63 17.63 17.63
Positions (direct):
Sc: 0.926 0.926 0.926
Sc: 0.074 0.074 0.074
P: 0.000 0.000 0.000
Ba: 0.500 0.500 0.500

No. 2
Density functional theory data (GGA-PBE) for a relaxed Pr6SmTm12 crystal.

Calculated density = 8.1 g/cm³
Energy above the most stable polymorph in this dataset = 0.0 meV/atom
VASP energy = -84.701 eV for the cell shown
ΔE_f = 123.8 meV per atom
Space-group type = No. 166

a b c (Å): 8.644 8.644 8.644
angles (deg): 79.61 79.61 79.61
Positions (direct):
Pr: 0.767 0.768 0.166
Pr: 0.834 0.233 0.232
Pr: 0.232 0.834 0.233
Pr: 0.233 0.232 0.834
Pr: 0.166 0.767 0.768
Pr: 0.768 0.166 0.767
Sm: 0.000 0.000 0.000
Tm: 0.804 0.487 0.486
Tm: 0.486 0.804 0.487
Tm: 0.487 0.486 0.804
Tm: 0.196 0.513 0.514
Tm: 0.514 0.196 0.513
Tm: 0.513 0.514 0.196
Tm: 0.138 0.138 0.481
Tm: 0.862 0.519 0.862
Tm: 0.519 0.862 0.862
Tm: 0.862 0.862 0.519
Tm: 0.138 0.481 0.138
Tm: 0.481 0.138 0.138

No. 3
Density functional theory data (GGA-PBE) for a relaxed Sm3Er4Mg2 crystal.

Calculated density = 7.1 g/cm³
VASP energy = -35.500 eV for the cell shown
ΔE_f = 10.9 meV per atom
Space-group type = No. 12

a b c (Å): 4.909 7.882 7.813
angles (deg): 107.68 108.31 90.00
Positions (direct):
Sm: 0.888 0.336 0.776
Sm: 0.112 0.664 0.224
Sm: 0.000 0.000 0.000
Er: 0.557 0.335 0.114
Er: 0.779 0.669 0.557
Er: 0.443 0.665 0.886
Er: 0.221 0.331 0.443
Mg: 0.330 0.000 0.661
Mg: 0.670 0.000 0.339

No. 4
Density functional theory data (GGA-PBE) for a relaxed RbHfGaBr6 crystal.

Calculated density = 3.7 g/cm³
VASP energy = -71.821 eV for the cell shown
Space-group type = No. 163

a b c (Å): 7.645 7.645 14.359
angles (deg): 90.00 90.00 120.00
Positions (direct):
Rb: 0.000 0.000 0.000
Rb: 0.000 0.000 0.500
Hf: 0.667 0.333 0.250
Hf: 0.333 0.667 0.750
Ga: 0.333 0.667 0.250
Ga: 0.667 0.333 0.750
Br: 0.655 0.608 0.144
Br: 0.953 0.345 0.144
Br: 0.345 0.953 0.644
Br: 0.047 0.655 0.856
Br: 0.392 0.345 0.356
Br: 0.953 0.608 0.356
Br: 0.608 0.953 0.856
Br: 0.655 0.047 0.356
Br: 0.047 0.392 0.644
Br: 0.392 0.047 0.144
Br: 0.608 0.655 0.644
Br: 0.345 0.392 0.856

No. 5
Density functional theory data (GGA-PBE) for a relaxed BaTb2PdS4 crystal.

Calculated density = 6.1 g/cm³
VASP energy = -95.376 eV for the cell shown
Space-group type = No. 63

a b c (Å): 4.048 7.051 13.843
angles (deg): 90.00 90.00 106.68
Positions (direct):
Ba: 0.115 0.230 0.750
Ba: 0.885 0.770 0.250
Tb: 0.367 0.733 0.570
Tb: 0.633 0.267 0.070
Tb: 0.633 0.267 0.430
Tb: 0.367 0.733 0.930
Pd: 0.843 0.686 0.750
Pd: 0.157 0.314 0.250
S: 0.268 0.536 0.108
S: 0.732 0.464 0.608
S: 0.732 0.464 0.892
S: 0.268 0.536 0.392
S: 0.000 0.000 0.500
S: 0.000 0.000 0.000
S: 0.447 0.895 0.750
S: 0.553 0.105 0.250

No. 6
Density functional theory data (GGA-PBE) for a relaxed Tb3Ce2NpN6 crystal.

Calculated density = 9.7 g/cm³
VASP energy = -106.717 eV for the cell shown
Space-group type = No. 12

a b c (Å): 6.080 6.080 6.090
angles (deg): 99.59 99.59 119.98
Positions (direct):
Tb: 0.167 0.833 0.500
Tb: 0.833 0.167 0.500
Tb: 0.500 0.500 0.500
Ce: 0.334 0.666 0.000
Ce: 0.666 0.334 0.000
Np: 0.000 0.000 0.000
N: 0.918 0.597 0.755
N: 0.760 0.760 0.244
N: 0.082 0.403 0.245
N: 0.597 0.918 0.755
N: 0.240 0.240 0.756
N: 0.403 0.082 0.245

calculated density of number 4 (RbHfGaBr6)?
3.7 g/cm³

The lowest calculated density belongs to which entry?
BaSc2P

What is the formula in the first record?
BaSc2P